# 1
An optimized crystal structure of PmPr2Nd2Y6. Source: Alexandria, functional PBE.

abc: 5.7855 12.2073 10.6462
angles: 90.00 90.05 90.00
Space group C2/m (No. 12)
Symmetry-distinct sites (fractional):
Pm1 0.0000 0.0000 0.0000 (multiplicity 2)
Pr1 0.0000 0.2919 0.0000 (multiplicity 4)
Nd1 0.0000 0.3694 0.5000 (multiplicity 4)
Y1 0.9996 0.1508 0.2995 (multiplicity 8)
Y2 0.9996 0.5000 0.2062 (multiplicity 4)

Output
Magnetic moment = 0.0 μB per cell
E_form = 0.142 eV/atom
DFT total energy = -122.14 eV/cell

***

# 2
An optimized crystal structure of PmPr2Nd5Y. Source: Alexandria, functional PBE.

abc: 8.8445 8.8445 16.3609
angles: 90.00 90.00 90.00
Space group I4/mcm (No. 140)
Symmetry-distinct sites (fractional):
Pm1 0.0000 0.0000 0.2500 (multiplicity 4)
Pr1 0.1192 0.3808 0.0000 (multiplicity 8)
Nd1 0.0000 0.0000 0.0000 (multiplicity 4)
Nd2 0.2146 0.2854 0.3587 (multiplicity 16)
Y1 0.0000 0.5000 0.2500 (multiplicity 4)

Output
Magnetic moment = 0.0 μB per cell
E_form = 0.264 eV/atom
DFT total energy = -168.93 eV/cell